This record from the Alexandria database describes V2GaCl6 after structural relaxation. The functional is PBE.

ΔE_f (raw) (eV per formula unit): -9.84
Electronic total energy (eV per atom): -4.69
Magnetization (μB per atom): 0.556

POSCAR file:
```
V2GaCl6
1.0
6.315 -1.835 0.000
6.315 1.835 0.000
-4.188 0.000 10.121
V Ga Cl
2 1 6
direct
0.171 0.171 0.343 V
0.829 0.829 0.657 V
0.500 0.500 0.000 Ga
0.182 0.182 0.135 Cl
0.182 0.182 0.576 Cl
0.464 0.464 0.715 Cl
0.536 0.536 0.285 Cl
0.818 0.818 0.424 Cl
0.818 0.818 0.865 Cl
```